Entry 1:
VASP calculation (GGA-PBE) on a relaxed LaHo2Te crystal.

The space group is R3m (No. 160, hexagonal axes) and the conventional cell measures 3.8966, 3.8966 and 30.1229 Å, with angles of 90.00, 90.00 and 120.00 degrees. The inequivalent atoms are La at (0.0000, 0.0000, 0.0000), Ho at (0.0000, 0.0000, 0.2358), Ho at (0.0000, 0.0000, 0.4306) and Te at (0.0000, 0.0000, 0.8333).

As for the total magnetic moment: 0.1 μB/f.u. The value obtained for the relative energy among the computed polymorphs is 0 meV per atom. The calculation puts the density of states at the Fermi level at 16.28 states/eV/cell.

***

Entry 2:
VASP calculation (GGA-PBE) on a relaxed RbNa2Ga2Sb2 crystal.

The space group is C2/m (No. 12) and the conventional cell measures 10.772, 4.356 and 10.195 Å, with angles of 90.00, 109.44 and 90.00 degrees. The inequivalent atoms are Rb at (0.000, 0.000, 0.000), Na at (0.132, 0.000, 0.400), Ga at (0.075, 0.500, 0.626) and Sb at (0.217, 0.000, 0.744).

As for the energy: -0.105 hartree per atom. As for the total magnetic moment: 0.0 μB/f.u. The calculation puts the density of states at the Fermi level at 1.56 states/eV/cell.

***

Entry 3:
VASP calculation (GGA-PBE) on a relaxed AcDy3Hg4 crystal.

The space group is Pmma (No. 51) and the conventional cell measures 10.696, 7.730 and 5.348 Å, with angles of 90.00, 90.00 and 90.00 degrees. The inequivalent atoms are Ac at (0.000, 0.000, 0.000), Dy at (0.000, 0.500, 0.000), Dy at (0.250, 0.000, 0.499), Dy at (0.250, 0.500, 0.499), Hg at (0.000, 0.272, 0.500) and Hg at (0.250, 0.272, 0.998).

The calculation puts the formation energy from the elements at -0.445 eV per atom. As for the total magnetic moment: 0.7 μB/f.u. The calculation puts the density of states at the Fermi level at 16.47 states/eV/cell.

***

Entry 4:
VASP calculation (GGA-PBE) on a relaxed K12Rb7In crystal.

The space group is R-3m (No. 166, hexagonal axes) and the conventional cell measures 25.4854, 25.4854 and 8.2989 Å, with angles of 90.00, 90.00 and 120.00 degrees. The inequivalent atoms are K at (0.0000, 0.4082, 0.0000), K at (0.0942, 0.5471, 0.4902), Rb at (0.0000, 0.0000, 0.0000), Rb at (0.0783, 0.1565, 0.3175) and In at (0.0000, 0.0000, 0.5000).

The calculation puts the formation energy from the elements at 0.060 eV per atom. As for the total magnetic moment: 0.0 μB/f.u. The calculation puts the density of states at the Fermi level at 53.35 states/eV/cell.

***

Entry 5:
VASP calculation (GGA-PBE) on a relaxed Be3FeHg crystal.

The space group is Pm-3m (No. 221) and the conventional cell measures 4.045, 4.045 and 4.045 Å, with angles of 90.00, 90.00 and 90.00 degrees. The inequivalent atoms are Be at (0.000, 0.000, 0.500), Fe at (0.000, 0.000, 0.000) and Hg at (0.500, 0.500, 0.500).

The calculation puts the formation energy from the elements at 0.775 eV per atom. As for the total magnetic moment: 0.0 μB/f.u. The value obtained for the relative energy among the computed polymorphs is 0 meV per atom. The calculation puts the density of states at the Fermi level at 2.43 states/eV/cell.